{
  "formula": "SmGdCdAg",
  "functional": "PBE",
  "state": "relaxed",
  "lattice": [[-1.518, 5.010, -0.792], [-1.538, 2.979, 4.097], [3.057, 3.987, 1.669]],
  "species": ["Gd", "Ag", "Sm", "Cd"],
  "frac_coords": [[0.000, 0.000, 0.000], [0.250, 0.250, 0.250], [0.500, 0.500, 0.500], [0.750, 0.750, 0.750]],
  "energy_ev_per_fu": -23.7,
  "formation_enthalpy_0k_ev_per_atom": -0.2956,
  "magmom_total_mub_per_cell": 7.47
}